Computed, not measured: crystalline La2BiF at its relaxed geometry at the GGA-PBE level of DFT.

The structure in CIF format:
```
data_La2BiF
_chemical_formula_sum 'La6 Bi3 F3'
_cell_length_a 4.2671
_cell_length_b 4.2671
_cell_length_c 20.8710
_cell_angle_alpha 90.00
_cell_angle_beta 90.00
_cell_angle_gamma 120.00
_space_group_name_H-M_alt 'R -3 m'
_space_group_IT_number 166
_space_group_name_Hall '-R 3 2"'
loop_
_atom_site_label
_atom_site_fract_x
_atom_site_fract_y
_atom_site_fract_z
La1 0.0000 0.0000 0.2339
Bi1 0.0000 0.0000 0.0000
F1 0.0000 0.0000 0.5000
```

Properties
ΔE_f (raw): -1.642 eV/atom
density: 7656 kg/m³
DOS at the Fermi energy: 5.63 states/eV/cell
M_tot: 0.000 μB per atom